KZr2Hg | PBE | optimized geometry

Cell: 5.4961 5.4961 7.3629 Å, 81.91 81.91 33.37°
Closest atoms and distances in Å follow each position.
Fractional positions:
1 Zr 0.0249 0.0249 0.8896  5 Zr 2.91-3.16, 2 Hg 3.02
2 Zr 0.7563 0.7563 0.7827  5 Zr 2.91-3.16, 2 Hg 3.11
3 K 0.2393 0.2393 0.2724  2 K 3.16, 1 Hg 3.51
4 Hg 0.4795 0.4795 0.5553  4 Zr 3.02-3.11, 2 Hg 3.16

Results
The calculation puts the density of states at the Fermi level at 2.92 states/eV per cell. The calculation puts the formation energy at 409 meV/atom. The calculation puts the total magnetization at 0.0 Bohr magnetons per cell.